No. 1
Ba2LiUTe6 | PBE-GGA | relaxed

a = 7.516 Å, b = 11.570 Å, c = 8.546 Å
α = 90.00°, β = 90.00°, γ = 90.00°
Space group Pmmn (No. 59, origin choice 2)
One atom of each set of equivalent atoms:
Ba: 0.250 0.026 0.197
Li: 0.250 0.250 0.715
U: 0.250 0.750 0.779
Te: 0.002 0.250 0.963
Te: 0.017 0.250 0.462
Te: 0.250 0.002 0.770

Its formation energy (no corrections) is -9.58 eV per formula unit.

***

No. 2
BaLiUTe4 | PBE-GGA | relaxed

a = 7.790 Å, b = 6.333 Å, c = 9.710 Å
α = 90.00°, β = 108.16°, γ = 90.00°
Space group P2_1/m (No. 11)
One atom of each set of equivalent atoms:
Ba: 0.250 0.250 0.060
Li: 0.264 0.750 0.317
U: 0.272 0.250 0.562
Te: 0.022 0.507 0.713
Te: 0.434 0.750 0.596
Te: 0.446 0.750 0.132

Its formation energy (no corrections) is -6.79 eV per formula unit.

***

No. 3
Ba2LiUTe5 | PBE-GGA | relaxed

a = 4.663 Å, b = 19.948 Å, c = 14.111 Å
α = 90.00°, β = 90.00°, γ = 90.00°
Space group Cmc2_1 (No. 36)
One atom of each set of equivalent atoms:
Ba: 0.000 0.107 0.000
Ba: 0.000 0.122 0.623
Li: 0.000 0.437 0.754
U: 0.000 0.206 0.327
Te: 0.000 0.063 0.360
Te: 0.000 0.287 0.967
Te: 0.000 0.302 0.685
Te: 0.000 0.354 0.315
Te: 0.000 0.499 0.085

Its formation energy (no corrections) is -10.39 eV per formula unit.

***

No. 4
Ba2Li2YTe4 | PBE-GGA | relaxed

a = 16.574 Å, b = 4.527 Å, c = 8.171 Å
α = 90.00°, β = 110.56°, γ = 90.00°
Space group C2/m (No. 12)
One atom of each set of equivalent atoms:
Ba: 0.133 0.000 0.060
Li: 0.180 0.500 0.491
Y: 0.000 0.000 0.500
Te: 0.015 0.500 0.248
Te: 0.203 0.000 0.698

Its formation energy (no corrections) is -12.39 eV per formula unit.

***

No. 5
BaLiYTe3 | PBE-GGA | relaxed

a = 4.555 Å, b = 15.051 Å, c = 11.512 Å
α = 90.00°, β = 90.00°, γ = 90.00°
Space group Cmcm (No. 63)
One atom of each set of equivalent atoms:
Ba: 0.000 0.249 0.250
Li: 0.000 0.473 0.750
Y: 0.000 0.000 0.000
Te: 0.000 0.074 0.750
Te: 0.000 0.364 0.557

Its formation energy (no corrections) is -8.89 eV per formula unit.

***

No. 6
Ba2LiTi | PBE-GGA | relaxed

a = 5.063 Å, b = 5.063 Å, c = 23.640 Å
α = 90.00°, β = 90.00°, γ = 90.00°
Space group I-42d (No. 122)
One atom of each set of equivalent atoms:
Ba: 0.249 0.250 0.125
Li: 0.000 0.000 0.500
Ti: 0.000 0.000 0.000

The calculation puts the energy above the lowest structure with this stoichiometry at 0.234 eV per atom.

***

No. 7
BaLiTi2 | PBE-GGA | relaxed

a = 7.249 Å, b = 7.249 Å, c = 7.249 Å
α = 90.00°, β = 90.00°, γ = 90.00°
Space group Fm-3m (No. 225)
One atom of each set of equivalent atoms:
Ba: 0.000 0.000 0.000
Li: 0.000 0.000 0.500
Ti: 0.250 0.250 0.250

The calculation puts the energy above the lowest structure with this stoichiometry at 0.056 eV per atom.

***

No. 8
BaLi2Ti | PBE-GGA | relaxed

a = 4.695 Å, b = 4.695 Å, c = 22.361 Å
α = 90.00°, β = 90.00°, γ = 90.00°
Space group I-42d (No. 122)
One atom of each set of equivalent atoms:
Ba: 0.000 0.000 0.000
Li: 0.162 0.750 0.625
Ti: 0.000 0.000 0.500

The calculation puts the energy above the lowest structure with this stoichiometry at 0.084 eV per atom.

***

No. 9
Ba3LiTi | PBE-GGA | relaxed

a = 6.418 Å, b = 6.418 Å, c = 6.418 Å
α = 90.00°, β = 90.00°, γ = 90.00°
Space group Pm-3m (No. 221)
One atom of each set of equivalent atoms:
Ba: 0.000 0.000 0.500
Li: 0.500 0.500 0.500
Ti: 0.000 0.000 0.000

The calculation puts the energy above the lowest structure with this stoichiometry at 0.000 eV per atom.

***

No. 10
BaLi2Ti | PBE-GGA | relaxed

a = 7.599 Å, b = 7.599 Å, c = 7.599 Å
α = 90.00°, β = 90.00°, γ = 90.00°
Space group Fm-3m (No. 225)
One atom of each set of equivalent atoms:
Ba: 0.000 0.000 0.000
Li: 0.250 0.250 0.250
Ti: 0.000 0.000 0.500

The calculation puts the energy above the lowest structure with this stoichiometry at 0.000 eV per atom.

***

No. 11
BaLiTi3 | PBE-GGA | relaxed

a = 5.065 Å, b = 5.065 Å, c = 5.065 Å
α = 90.00°, β = 90.00°, γ = 90.00°
Space group Pm-3m (No. 221)
One atom of each set of equivalent atoms:
Ba: 0.000 0.000 0.000
Li: 0.500 0.500 0.500
Ti: 0.000 0.000 0.500

The calculation puts the energy above the lowest structure with this stoichiometry at 0.739 eV per atom.

***

No. 12
Ba2LiTi | PBE-GGA | relaxed

a = 8.371 Å, b = 8.371 Å, c = 8.371 Å
α = 90.00°, β = 90.00°, γ = 90.00°
Space group Fm-3m (No. 225)
One atom of each set of equivalent atoms:
Ba: 0.250 0.250 0.250
Li: 0.000 0.000 0.000
Ti: 0.000 0.000 0.500

The calculation puts the energy above the lowest structure with this stoichiometry at 0.000 eV per atom.

***

No. 13
BaLiTi2 | PBE-GGA | relaxed

a = 4.295 Å, b = 4.295 Å, c = 22.603 Å
α = 90.00°, β = 90.00°, γ = 90.00°
Space group I-42d (No. 122)
One atom of each set of equivalent atoms:
Ba: 0.000 0.000 0.000
Li: 0.000 0.000 0.500
Ti: 0.124 0.250 0.625

The calculation puts the energy above the lowest structure with this stoichiometry at 0.000 eV per atom.

***

No. 14
BaLiTi3 | PBE-GGA | relaxed

a = 4.836 Å, b = 4.836 Å, c = 4.836 Å
α = 90.00°, β = 90.00°, γ = 90.00°
Space group Pm-3m (No. 221)
One atom of each set of equivalent atoms:
Ba: 0.000 0.000 0.000
Li: 0.500 0.500 0.500
Ti: 0.000 0.500 0.500

The calculation puts the energy above the lowest structure with this stoichiometry at 0.000 eV per atom.

***

No. 15
BaLiYTi2 | PBE-GGA | relaxed

a = 5.209 Å, b = 5.209 Å, c = 6.266 Å
α = 90.00°, β = 90.00°, γ = 90.00°
Space group P4/mmm (No. 123)
One atom of each set of equivalent atoms:
Ba: 0.000 0.000 0.000
Li: 0.500 0.500 0.000
Y: 0.000 0.000 0.500
Ti: 0.000 0.500 0.500

Its total energy is -3.954 eV per atom.

***

No. 16
BaLi2Tl | PBE-GGA | relaxed

a = 5.304 Å, b = 5.304 Å, c = 19.578 Å
α = 90.00°, β = 90.00°, γ = 90.00°
Space group I4_1/amd (No. 141, origin choice 2)
One atom of each set of equivalent atoms:
Ba: 0.000 0.250 0.375
Li: 0.000 0.000 0.000
Tl: 0.000 0.250 0.875

The calculation puts the energy above the lowest structure with this stoichiometry at 0.143 eV per atom.

***

No. 17
BaLi9Tl3 | PBE-GGA | relaxed

a = 6.112 Å, b = 14.062 Å, c = 7.751 Å
α = 90.00°, β = 112.96°, γ = 90.00°
Space group C2/m (No. 12)
One atom of each set of equivalent atoms:
Ba: 0.000 0.000 0.000
Li: 0.000 0.500 0.500
Li: 0.126 0.383 0.231
Li: 0.149 0.178 0.348
Tl: 0.000 0.000 0.500
Tl: 0.250 0.250 0.000

Its total energy is -2.179 eV per atom.

***

No. 18
Ba2LiTl2 | PBE-GGA | relaxed

a = 10.092 Å, b = 10.092 Å, c = 3.905 Å
α = 90.00°, β = 90.00°, γ = 90.00°
Space group P4/mbm (No. 127)
One atom of each set of equivalent atoms:
Ba: 0.171 0.329 0.000
Li: 0.000 0.000 0.000
Tl: 0.125 0.625 0.500

The calculation puts the energy above the lowest structure with this stoichiometry at 0.192 eV per atom.

***

No. 19
Ba3Li2Tl3 | PBE-GGA | relaxed

a = 9.238 Å, b = 18.642 Å, c = 6.512 Å
α = 90.00°, β = 90.00°, γ = 90.00°
Space group Pnma (No. 62)
One atom of each set of equivalent atoms:
Ba: 0.035 0.106 0.123
Ba: 0.175 0.250 0.602
Li: 0.121 0.599 0.386
Tl: 0.176 0.039 0.597
Tl: 0.176 0.750 0.594

Its total energy is -2.379 eV per atom.

***

No. 20
BaLiTl | PBE-GGA | relaxed

a = 4.055 Å, b = 4.055 Å, c = 12.083 Å
α = 90.00°, β = 90.00°, γ = 90.00°
Space group I4mm (No. 107)
One atom of each set of equivalent atoms:
Ba: 0.000 0.000 0.000
Li: 0.000 0.000 0.289
Tl: 0.000 0.000 0.695

The calculation puts the energy above the lowest structure with this stoichiometry at 0.027 eV per atom.